Compound: BePd2W
Source: the Open Quantum Materials Database
Functional: PBE-GGA
Structure: optimized geometry

DFT total energy (eV for the cell shown): -105.6
Total magnetization (μB/cell): 0.005

Cell and atoms, written as CIF:
```
data_BePd2W
_symmetry_space_group_name_H-M 'F -4 3 m'
_symmetry_Int_Tables_number 216
_symmetry_space_group_name_Hall 'F -4 2 3'
_cell_length_a 6.0468
_cell_length_b 6.0468
_cell_length_c 6.0468
_cell_angle_alpha 90.00
_cell_angle_beta 90.00
_cell_angle_gamma 90.00
loop_
_atom_site_label
_atom_site_type_symbol
_atom_site_fract_x
_atom_site_fract_y
_atom_site_fract_z
_atom_site_occupancy
Be1 Be 0.0000 0.0000 0.0000 1
Pd1 Pd 0.0000 0.0000 0.5000 1
Pd2 Pd 0.2500 0.2500 0.7500 1
W1 W 0.2500 0.2500 0.2500 1
```